The following is a PBEsol calculation of a geometry-optimized AgPt2Cl structure, from Alexandria via LeMat-Bulk.

The structure in extended XYZ format:
```
4
Lattice="4.749 0.000 0.000 0.000 4.749 0.000 0.000 0.000 2.832" Properties=species:S:1:pos:R:3 pbc="T T T"
Ag 0.000 0.000 0.000
Pt 0.000 2.374 1.416
Pt 2.374 0.000 1.416
Cl 2.374 2.374 0.000
```

Computed properties:
* energy above the most stable polymorph in this dataset: 0.299 eV/atom
* uncorrected formation energy: 576.1 meV per atom
* total magnetic moment: 0.00 μB/atom
* SG: P4/mmm, No. 123



The following is a PBEsol calculation of a geometry-optimized Ag2PtCl structure, from Alexandria via LeMat-Bulk.

The structure in extended XYZ format:
```
4
Lattice="-1.472 2.193 5.774 1.472 -2.193 5.774 1.472 2.193 -5.774" Properties=species:S:1:pos:R:3 pbc="T T T"
Ag 0.000 0.000 0.000
Ag 0.000 2.193 1.685
Pt 0.000 0.000 5.091
Cl 1.472 0.000 3.054
```

Computed properties:
* energy above the most stable polymorph in this dataset: 0.133 eV/atom
* uncorrected formation energy: 168.9 meV per atom
* total magnetic moment: 0.00 μB/atom
* SG: Imm2, No. 44



The following is a PBEsol calculation of a geometry-optimized AgPt2Cl structure, from Alexandria via LeMat-Bulk.

The structure in extended XYZ format:
```
4
Lattice="2.900 0.000 0.000 0.000 2.900 0.000 0.000 0.000 7.723" Properties=species:S:1:pos:R:3 pbc="T T T"
Ag 0.000 0.000 0.000
Pt 0.000 0.000 3.997
Pt 1.450 1.450 5.785
Cl 1.450 1.450 2.040
```

Computed properties:
* energy above the most stable polymorph in this dataset: 0.000 eV/atom
* uncorrected formation energy: 277.1 meV per atom
* total magnetic moment: 0.17 μB/atom
* SG: P4mm, No. 99



The following is a PBEsol calculation of a geometry-optimized Ag2PtCl structure, from Alexandria via LeMat-Bulk.

The structure in extended XYZ format:
```
4
Lattice="-1.469 2.423 4.695 1.469 -2.423 4.695 1.469 2.423 -4.695" Properties=species:S:1:pos:R:3 pbc="T T T"
Ag 0.000 0.000 2.325
Ag 0.000 0.000 7.066
Pt 0.000 2.423 0.000
Cl 1.469 0.000 0.000
```

Computed properties:
* energy above the most stable polymorph in this dataset: 0.298 eV/atom
* uncorrected formation energy: 333.5 meV per atom
* total magnetic moment: 0.00 μB/atom
* SG: Immm, No. 71



The following is a PBEsol calculation of a geometry-optimized AgPt2Cl structure, from Alexandria via LeMat-Bulk.

The structure in extended XYZ format:
```
4
Lattice="1.440 0.831 8.714 -1.440 0.831 8.714 0.000 -1.663 8.714" Properties=species:S:1:pos:R:3 pbc="T T T"
Ag 0.000 0.000 0.000
Pt 0.000 0.000 6.467
Pt 0.000 0.000 19.675
Cl 0.000 0.000 13.071
```

Computed properties:
* energy above the most stable polymorph in this dataset: 0.056 eV/atom
* uncorrected formation energy: 333.3 meV per atom
* total magnetic moment: 0.00 μB/atom
* SG: R-3m, No. 166



The following is a PBEsol calculation of a geometry-optimized AgPt2Cl structure, from Alexandria via LeMat-Bulk.

The structure in extended XYZ format:
```
4
Lattice="2.815 -4.056 0.000 2.815 4.056 0.000 0.000 0.000 2.789" Properties=species:S:1:pos:R:3 pbc="T T T"
Ag 0.000 0.000 0.000
Pt 1.407 2.028 1.394
Pt 1.407 -2.028 1.394
Cl 2.815 0.000 0.000
```

Computed properties:
* energy above the most stable polymorph in this dataset: 0.241 eV/atom
* uncorrected formation energy: 518.2 meV per atom
* total magnetic moment: 0.00 μB/atom
* SG: Cmmm, No. 65



The following is a PBEsol calculation of a geometry-optimized Rb2AgCl structure, from Alexandria via LeMat-Bulk.

The structure in extended XYZ format:
```
8
Lattice="-4.343 4.343 4.736 4.343 -4.343 4.736 4.343 4.343 -4.736" Properties=species:S:1:pos:R:3 pbc="T T T"
Rb 2.172 1.895 -1.184
Rb 2.448 -2.172 5.920
Rb 2.172 2.448 3.552
Rb 1.895 6.515 1.184
Ag 4.343 0.000 2.368
Ag 0.000 0.000 4.736
Cl 0.000 0.000 0.000
Cl 0.000 4.343 2.368
```

Computed properties:
* uncorrected formation energy: -709.1 meV per atom
* total magnetic moment: 0.00 μB/atom
* SG: I-42d, No. 122



The following is a PBEsol calculation of a geometry-optimized RbAgCl2 structure, from Alexandria via LeMat-Bulk.

The structure in extended XYZ format:
```
4
Lattice="2.506 1.447 7.538 -2.506 1.447 7.538 0.000 -2.894 7.538" Properties=species:S:1:pos:R:3 pbc="T T T"
Rb 0.000 0.000 0.000
Ag 0.000 0.000 11.307
Cl 0.000 0.000 9.015
Cl 0.000 0.000 13.598
```

Computed properties:
* uncorrected formation energy: -1107.7 meV per atom
* total magnetic moment: 0.00 μB/atom
* SG: R-3m, No. 166



E values (in eV/atom) by entry order: -4.235; -3.730; -4.534; -3.565; -4.478; -4.293; -2.552; -3.196.